# CaZr2Ag2

Crystalline CaZr2Ag2 at its relaxed geometry (PBE, the Alexandria database). Values from VASP.

Calculated volume: 229 Å³/cell
E above lowest polymorph: 8.8 meV/atom

The structure in Quantum ESPRESSO input format:
```
&SYSTEM
  ibrav = 0, nat = 10, ntyp = 3
/
ATOMIC_SPECIES
Ca 40.08 Ca.upf
Zr 91.22 Zr.upf
Ag 107.87 Ag.upf
CELL_PARAMETERS angstrom
8.5173 0.0000 0.0000
0.0000 8.5173 0.0000
0.0000 0.0000 3.1541
ATOMIC_POSITIONS crystal
Ca 0.0000 0.0000 0.0000
Ca 0.5000 0.5000 0.0000
Zr 0.1654 0.3346 0.5000
Zr 0.3346 0.8346 0.5000
Zr 0.6654 0.1654 0.5000
Zr 0.8346 0.6654 0.5000
Ag 0.1275 0.6275 0.0000
Ag 0.3725 0.1275 0.0000
Ag 0.6275 0.8725 0.0000
Ag 0.8725 0.3725 0.0000
```

***

# Cd2TcMo

Crystalline Cd2TcMo at its relaxed geometry (PBE, the Alexandria database). Values from VASP.

Calculated volume: 70 Å³/cell
E above lowest polymorph: 235.2 meV/atom

The structure in Quantum ESPRESSO input format:
```
&SYSTEM
  ibrav = 0, nat = 4, ntyp = 3
/
ATOMIC_SPECIES
Cd 112.41 Cd.upf
Tc 98.00 Tc.upf
Mo 95.94 Mo.upf
CELL_PARAMETERS angstrom
4.6318 -1.4244 0.0000
4.6318 1.4244 0.0000
-0.5510 0.0000 5.3355
ATOMIC_POSITIONS crystal
Cd 0.0000 0.0000 0.0000
Cd 0.2482 0.2482 0.7692
Tc 0.7442 0.7442 0.2946
Mo 0.5000 0.5000 0.4754
```

***

# SmMg3Pb4

Crystalline SmMg3Pb4 at its relaxed geometry (PBE, the Alexandria database). Values from VASP.

Calculated volume: 216 Å³/cell

The structure in Quantum ESPRESSO input format:
```
&SYSTEM
  ibrav = 0, nat = 8, ntyp = 3
/
ATOMIC_SPECIES
Sm 150.36 Sm.upf
Mg 24.30 Mg.upf
Pb 207.20 Pb.upf
CELL_PARAMETERS angstrom
4.4300 0.0000 0.0000
0.0000 4.8733 0.0000
0.0000 0.0000 9.9890
ATOMIC_POSITIONS crystal
Sm 0.0000 0.0000 0.0000
Mg 0.0000 0.0000 0.5000
Mg 0.0000 0.5000 0.2565
Mg 0.0000 0.5000 0.7435
Pb 0.5000 0.0000 0.2581
Pb 0.5000 0.0000 0.7419
Pb 0.5000 0.5000 0.0000
Pb 0.5000 0.5000 0.5000
```

***

# KTlIr2

Crystalline KTlIr2 at its relaxed geometry (PBE, the Alexandria database). Values from VASP.

Calculated volume: 80 Å³/cell
E above lowest polymorph: 581.2 meV/atom

The structure in Quantum ESPRESSO input format:
```
&SYSTEM
  ibrav = 0, nat = 4, ntyp = 3
/
ATOMIC_SPECIES
K 39.10 K.upf
Tl 204.38 Tl.upf
Ir 192.22 Ir.upf
CELL_PARAMETERS angstrom
-1.5094 2.5878 5.1408
1.5094 -2.5878 5.1408
1.5094 2.5878 -5.1408
ATOMIC_POSITIONS crystal
K 0.0000 0.0000 0.0000
Tl 0.5000 0.5000 0.0000
Ir 0.2740 0.7740 0.5000
Ir 0.7260 0.2260 0.5000
```

***

The calculation returns the following DOS(E_F) values, one per record and in order: 12.8, 2.4, 4.1, 4.6 states/eV/cell.
The calculation returns the following energy of formation values, one per record and in order: 47, 162, -153, 345 kJ/mol of formula units.
The calculation returns the following total energy values, one per record and in order: -0.1787, -0.1961, -0.1191, -0.1618 hartree per atom.